Entry from the Alexandria database: a crystal of Hf2Be2Os relaxed with PBEsol (SCAN).

Results
density of states at the Fermi level: 0.67 states/eV per atom
VASP energy: -41.64 eV per atom
total magnetization: 0.00 μB/f.u.
ΔE_f: -0.450 eV per atom
space group: P4/mbm

Lattice parameters (Å, degrees): 6.4137 6.4137 3.4095 90.00 90.00 90.00
Last column: nearest neighbours and their distance in Å.
Element x y z (fractional)
Hf: 0.1806 0.3194 0.0000  6 Be 2.50-2.59
Hf: 0.3194 0.8194 0.0000  6 Be 2.50-2.59
Hf: 0.6806 0.1806 0.0000  6 Be 2.50-2.59
Hf: 0.8194 0.6806 0.0000  6 Be 2.50-2.59
Be: 0.1176 0.6176 0.5000  1 Be 2.13
Be: 0.3824 0.1176 0.5000  1 Be 2.13
Be: 0.6176 0.8824 0.5000  1 Be 2.13
Be: 0.8824 0.3824 0.5000  1 Be 2.13
Os: 0.0000 0.0000 0.5000  4 Be 2.57
Os: 0.5000 0.5000 0.5000  4 Be 2.57

Entry from the Alexandria database: a crystal of HfBe3Os relaxed with PBEsol (SCAN).

Results
density of states at the Fermi level: 0.75 states/eV per atom
VASP energy: -27.23 eV per atom
total magnetization: 2.57 μB/f.u.
ΔE_f: 2.288 eV per atom
space group: Pm-3m

Lattice parameters (Å, degrees): 4.2425 4.2425 4.2425 90.00 90.00 90.00
Last column: nearest neighbours and their distance in Å.
Element x y z (fractional)
Hf: 0.0000 0.0000 0.0000  6 Be 2.12
Be: 0.0000 0.0000 0.5000  2 Hf 2.12
Be: 0.0000 0.5000 0.0000  2 Hf 2.12
Be: 0.5000 0.0000 0.0000  2 Hf 2.12
Os: 0.5000 0.5000 0.5000  12 Be 3.00